Record 1
The following is a DFT calculation (PBE) of ScSiOs2 after structural relaxation.

Unit cell a=9.5176 b=3.0044 c=4.4572 alpha=90.00 beta=110.71 gamma=90.00
Last column: nearest neighbours and their distance in Å.
Space group Cm (No. 8)
Inequivalent atoms, fractional coordinates:
Sc: 0.0000 0.0000 0.0000  7 Os 2.60-2.74, 2 Si 2.91
Si: 0.2677 0.5000 0.3632  7 Os 2.57-2.79
Os: 0.9998 0.5000 0.4844  3 Si 2.57-2.79, 4 Sc 2.63-2.74, 2 Os 2.78
Os: 0.2439 0.0000 0.8641  3 Sc 2.60-2.74, 4 Si 2.63-2.77, 2 Os 2.78

uncorrected formation energy = -104 kJ/mol of formula units

Record 2
The following is a DFT calculation (PBE) of Y6Zn5Co after structural relaxation.

Unit cell a=4.9980 b=7.1104 c=14.9458 alpha=90.00 beta=90.00 gamma=90.00
Last column: nearest neighbours and their distance in Å.
Space group Immm (No. 71)
Inequivalent atoms, fractional coordinates:
Y: 0.0000 0.2366 0.0000  2 Co 3.01, 6 Zn 3.12-3.13, 1 Y 3.36
Y: 0.0000 0.2579 0.3395  1 Co 2.95, 7 Zn 3.02-3.10
Zn: 0.0000 0.0000 0.1756  8 Y 3.04-3.12
Zn: 0.0000 0.0000 0.5000  8 Y 3.02-3.12
Zn: 0.0000 0.5000 0.1681  8 Y 3.09-3.13, 2 Zn 3.42
Co: 0.0000 0.5000 0.5000  8 Y 2.95-3.01

energy = -4.68 eV per atom

Record 3
The following is a DFT calculation (PBE) of Ta2HgMo after structural relaxation.

Unit cell a=2.8552 b=4.4046 c=5.8886 alpha=90.00 beta=100.59 gamma=90.00
Last column: nearest neighbours and their distance in Å.
Space group P2/m (No. 10)
Inequivalent atoms, fractional coordinates:
Ta: 0.0881 0.0000 0.2721  2 Mo 2.73, 3 Ta 2.82-2.86, 2 Hg 3.04
Hg: 0.5000 0.5000 0.0000  2 Hg 2.86, 2 Mo 2.94, 8 Ta 3.04-3.08
Mo: 0.5000 0.5000 0.5000  4 Ta 2.73, 2 Mo 2.86, 2 Hg 2.94

energy = -8.48 eV per atom

Record 4
The following is a DFT calculation (PBE) of RbSbI2Br after structural relaxation.

Unit cell a=6.7200 b=6.7200 c=9.3176 alpha=90.00 beta=90.00 gamma=90.00
Last column: nearest neighbours and their distance in Å.
Space group P4/mmm (No. 123)
Inequivalent atoms, fractional coordinates:
Rb: 0.0000 0.0000 0.0000  4 I 3.36
Sb: 0.0000 0.0000 0.5000  2 Rb 4.66, 4 Br 4.75
I: 0.0000 0.5000 0.0000  2 Rb 3.36
Br: 0.5000 0.5000 0.5000  4 Sb 4.75

distance to the lowest polymorph of the same formula = 1.166 eV per atom
uncorrected formation energy = 189 kJ/mol of formula units

Record 5
The following is a DFT calculation (PBE) of CdWBr after structural relaxation.

Unit cell a=2.9895 b=5.4467 c=17.1314 alpha=90.00 beta=90.00 gamma=90.00
Last column: nearest neighbours and their distance in Å.
Space group Fmm2 (No. 42)
Inequivalent atoms, fractional coordinates:
Cd: 0.0000 0.0000 0.0000  2 W 2.93, 6 Cd 2.99-3.11
W: 0.0000 0.0000 0.3532  2 Br 2.58
Br: 0.0000 0.0000 0.7306  2 W 2.58

distance to the lowest polymorph of the same formula = 0.202 eV per atom
uncorrected formation energy = 206 kJ/mol of formula units

Record 6
The following is a DFT calculation (PBE) of Ba2CoAg after structural relaxation.

Unit cell a=7.9529 b=7.9529 c=7.9529 alpha=90.00 beta=90.00 gamma=90.00
Last column: nearest neighbours and their distance in Å.
Space group Fm-3m (No. 225)
Inequivalent atoms, fractional coordinates:
Ba: 0.2500 0.2500 0.2500  4 Co 3.44, 4 Ag 3.44
Co: 0.0000 0.0000 0.0000  8 Ba 3.44
Ag: 0.0000 0.0000 0.5000  8 Ba 3.44

distance to the lowest polymorph of the same formula = 0.120 eV per atom

Record 7
The following is a DFT calculation (PBE) of PaTaVSi2 after structural relaxation.

Unit cell a=3.9448 b=3.9448 c=11.3449 alpha=90.00 beta=90.00 gamma=90.00
Last column: nearest neighbours and their distance in Å.
Space group I-4m2 (No. 119)
Inequivalent atoms, fractional coordinates:
Pa: 0.0000 0.0000 0.0000  8 Si 3.03
Ta: 0.0000 0.5000 0.7500  4 Si 2.58, 4 V 2.79
V: 0.0000 0.5000 0.2500  4 Si 2.58, 4 Ta 2.79
Si: 0.0000 0.0000 0.3961  1 Si 2.36, 2 Ta 2.58, 2 V 2.58

uncorrected formation energy = -250 kJ/mol of formula units

Record 8
The following is a DFT calculation (PBE) of Ce6Tl2Co after structural relaxation.

Unit cell a=11.4383 b=7.1787 c=7.2487 alpha=90.00 beta=127.73 gamma=90.00
Last column: nearest neighbours and their distance in Å.
Space group C2/m (No. 12)
Inequivalent atoms, fractional coordinates:
Ce: 0.0068 0.2493 0.2560  1 Co 2.56, 1 Ce 2.80
Ce: 0.1880 0.0000 0.2392  2 Ce 2.80, 1 Co 2.84
Tl: 0.2493 0.5000 0.2339  11 Ce 3.37-3.66
Co: 0.0000 0.5000 0.5000  6 Ce 2.56-2.84

energy = -5.48 eV per atom

| no. | density of states at the Fermi level (states/eV/cell) | total magnetization (μB/f.u.) | volume (Å³/atom) |
| --- | --- | --- | --- |
| 1 | 4.73 | 0.00 | 14.9 |
| 2 | 17.80 | 0.01 | 22.1 |
| 3 | 2.54 | 0.00 | 18.2 |
| 4 | 14.85 | 3.05 | 84.2 |
| 5 | 9.09 | 0.00 | 23.2 |
| 6 | 29.11 | 0.61 | 31.4 |
| 7 | 9.22 | 0.00 | 17.7 |
| 8 | 37.57 | 0.00 | 26.2 |